(a)
The following is a DFT calculation (GGA+U) of a relaxed VCuF3 crystal.

Structure (POSCAR):
```
VCuF3
1.0
4.088 0.000 0.000
0.000 4.088 0.000
0.000 0.000 4.088
V Cu F
1 1 3
Direct
0.000 0.000 0.000
0.500 0.500 0.500
0.000 0.000 0.500
0.000 0.500 0.000
0.500 0.000 0.000
```

## Properties
- ρ: 4.17 Mg/m³
- SG: No. 221
- Total magnetic moment: 2.759 Bohr magnetons per cell

***

(b)
The following is a DFT calculation (GGA+U) of a relaxed VCuF3 crystal.

Structure (POSCAR):
```
VCuF3
1.0
4.050 0.000 0.000
0.000 4.050 0.000
0.000 0.000 4.050
V Cu F
1 1 3
Direct
0.000 0.000 0.000
0.500 0.500 0.500
0.000 0.500 0.500
0.500 0.000 0.500
0.500 0.500 0.000
```

## Properties
- ρ: 4.29 Mg/m³
- SG: No. 221
- Total magnetic moment: 4.083 Bohr magnetons per cell

***

The energy of each structure relative to the most stable one, in meV per atom, is as follows: (a) 0; (b) 627.

***

(a)
The following is a DFT calculation (GGA+U) of a relaxed VCu3F crystal.

Structure (POSCAR):
```
VCu3F
1.0
4.678 0.000 0.000
0.000 4.678 0.000
0.000 0.000 4.678
V Cu F
1 3 1
Direct
0.000 0.000 0.000
0.000 0.000 0.500
0.000 0.500 0.000
0.500 0.000 0.000
0.500 0.500 0.500
```

## Properties
- ρ: 4.23 Mg/m³
- SG: No. 221
- Total magnetic moment: 3.431 Bohr magnetons per cell

***

(b)
The following is a DFT calculation (GGA+U) of a relaxed VCu3F crystal.

Structure (POSCAR):
```
VCu3F
1.0
4.182 0.000 0.000
0.000 4.182 0.000
0.000 0.000 4.182
V Cu F
1 3 1
Direct
0.000 0.000 0.000
0.000 0.500 0.500
0.500 0.000 0.500
0.500 0.500 0.000
0.500 0.500 0.500
```

## Properties
- ρ: 5.92 Mg/m³
- SG: No. 221
- Total magnetic moment: 3.415 Bohr magnetons per cell

***

The energy of each structure relative to the most stable one, in meV per atom, is as follows: (a) 874; (b) 0.

***

(a)
The following is a DFT calculation (GGA+U) of a relaxed Cu2WF crystal.

Structure (POSCAR):
```
Cu2WF
1.0
0.000 3.067 3.067
3.067 0.000 3.067
3.067 3.067 0.000
Cu W F
2 1 1
Direct
0.250 0.250 0.250
0.750 0.750 0.750
0.000 0.000 0.000
0.500 0.500 0.500
```

## Properties
- ρ: 9.50 Mg/m³
- SG: No. 225
- Total magnetic moment: 1.832 Bohr magnetons per cell

***

(b)
The following is a DFT calculation (GGA+U) of a relaxed Cu2WF crystal.

Structure (POSCAR):
```
Cu2WF
1.0
-3.581 3.581 2.284
3.581 -3.581 2.284
3.581 3.581 -2.284
Cu W F
4 2 2
Direct
0.092 0.625 0.967
0.375 0.342 0.467
0.658 0.125 0.033
0.875 0.908 0.533
0.250 0.750 0.500
0.500 0.500 0.000
0.000 0.000 0.000
0.750 0.250 0.500
```

## Properties
- ρ: 9.35 Mg/m³
- SG: No. 122
- Total magnetic moment: 5.965 Bohr magnetons per cell

***

The energy of each structure relative to the most stable one, in meV per atom, is as follows: (a) 537; (b) 0.